Record 1
Below is a geometry-optimized PmBeZn2Au5 structure, with properties calculated at the PBE-GGA level.

Values from the calculation:
- V (A^3/atom) = 19.723
- formation energy from the elements (kcal/mol of atoms) = -6.43
- space-group type = Immm, No. 71
- density of states at the Fermi level (states/eV/f.u.) = 4.027

Cell lengths 7.5431, 7.5431, 7.5431 Å; angles 145.29, 132.85, 59.86 degrees
With the nearest neighbours (Å) after each atom.
Sites, in units of the cell vectors:
Pm: 0.0000 0.0000 0.0000  10 Au 3.02-3.22
Be: 0.5000 0.5000 0.0000  6 Au 2.25-2.39
Zn: 0.3024 0.8024 0.5000  7 Au 2.58-2.85
Zn: 0.6976 0.1976 0.5000  7 Au 2.58-2.85
Au: 0.1027 0.3624 0.7402  1 Be 2.39, 1 Zn 2.60
Au: 0.3778 0.6376 0.7402  1 Be 2.39, 1 Zn 2.60
Au: 0.5000 0.0000 0.5000  2 Be 2.25
Au: 0.6222 0.3624 0.2598  1 Be 2.39, 1 Zn 2.60
Au: 0.8973 0.6376 0.2598  1 Be 2.39, 1 Zn 2.60


Record 2
Below is a geometry-optimized SrGdAgPb structure, with properties calculated at the PBE-GGA level.

Values from the calculation:
- V (A^3/atom) = 29.554
- formation energy from the elements (kcal/mol of atoms) = -9.41
- space-group type = F-43m, No. 216
- density of states at the Fermi level (states/eV/f.u.) = 4.331

Cell lengths 5.5089, 5.5089, 5.5089 Å; angles 60.00, 60.00, 60.00 degrees
With the nearest neighbours (Å) after each atom.
Sites, in units of the cell vectors:
Sr: 0.0000 0.0000 0.0000  4 Pb 3.37, 4 Ag 3.37
Gd: 0.5000 0.5000 0.5000  4 Pb 3.37, 4 Ag 3.37
Ag: 0.2500 0.2500 0.2500  4 Gd 3.37, 4 Sr 3.37
Pb: 0.7500 0.7500 0.7500  4 Gd 3.37, 4 Sr 3.37


Record 3
Below is a geometry-optimized Na2TmPaO6 structure, with properties calculated at the PBE-GGA level.

Values from the calculation:
- V (A^3/atom) = 14.484
- raw formation energy (meV/atom) = -2524
- space-group type = P2_1/c, No. 14
- density of states at the Fermi level (states/eV/f.u.) = 6.589

Cell lengths 5.8367, 5.9644, 10.1500 Å; angles 90.00, 124.93, 90.00 degrees
With the nearest neighbours (Å) after each atom.
Sites, in units of the cell vectors:
Na: 0.2428 0.0375 0.2498  4 O 2.42-2.58
Na: 0.2428 0.4625 0.7498  4 O 2.42-2.58
Na: 0.7572 0.5375 0.2502  4 O 2.42-2.58
Na: 0.7572 0.9625 0.7502  4 O 2.42-2.58
Tm: 0.0000 0.0000 0.5000  6 O 2.21-2.22
Tm: 0.0000 0.5000 0.0000  6 O 2.21-2.22
Pa: 0.5000 0.0000 0.0000  6 O 2.13
Pa: 0.5000 0.5000 0.5000  6 O 2.13
O: 0.1516 0.1959 0.9484  1 Pa 2.13, 1 Tm 2.21
O: 0.1516 0.3041 0.4484  1 Pa 2.13, 1 Tm 2.21
O: 0.2558 0.7054 0.9468  1 Pa 2.13, 1 Tm 2.22
O: 0.2558 0.7946 0.4468  1 Pa 2.13, 1 Tm 2.22
O: 0.3568 0.0425 0.7557  1 Pa 2.13, 1 Tm 2.22
O: 0.3568 0.4575 0.2557  1 Pa 2.13, 1 Tm 2.22
O: 0.6432 0.5425 0.7443  1 Pa 2.13, 1 Tm 2.22
O: 0.6432 0.9575 0.2443  1 Pa 2.13, 1 Tm 2.22
O: 0.7442 0.2054 0.5532  1 Pa 2.13, 1 Tm 2.22
O: 0.7442 0.2946 0.0532  1 Pa 2.13, 1 Tm 2.22
O: 0.8484 0.6959 0.5516  1 Pa 2.13, 1 Tm 2.21
O: 0.8484 0.8041 0.0516  1 Pa 2.13, 1 Tm 2.21


Record 4
Below is a geometry-optimized LaNiGePt6 structure, with properties calculated at the PBE-GGA level.

Values from the calculation:
- V (A^3/atom) = 20.248
- formation energy from the elements (kcal/mol of atoms) = -5.37
- space-group type = Imma, No. 74
- density of states at the Fermi level (states/eV/f.u.) = 7.186

Cell lengths 8.0267, 8.0267, 8.0267 Å; angles 122.61, 117.50, 89.96 degrees
With the nearest neighbours (Å) after each atom.
Sites, in units of the cell vectors:
La: 0.3779 0.1279 0.2500  6 Pt 2.85-2.93
La: 0.6221 0.8721 0.7500  6 Pt 2.85-2.93
Ni: 0.0000 0.0000 0.5000  6 Pt 2.41-2.45
Ni: 0.0000 0.5000 0.0000  6 Pt 2.41-2.45
Ge: 0.0000 0.5000 0.5000  6 Pt 2.42-2.45
Ge: 0.5000 0.5000 0.0000  6 Pt 2.42-2.45
Pt: 0.1169 0.3741 0.2383  1 Ge 2.42, 1 Ni 2.45
Pt: 0.1169 0.8786 0.7429  1 Ge 2.42, 1 Ni 2.45
Pt: 0.1272 0.8772 0.2500  2 Ni 2.41
Pt: 0.3642 0.1214 0.7383  1 Ge 2.42, 1 Ni 2.45
Pt: 0.3637 0.6137 0.7500  2 Ge 2.45
Pt: 0.3642 0.6259 0.2429  1 Ge 2.42, 1 Ni 2.45
Pt: 0.6358 0.3741 0.7571  1 Ge 2.42, 1 Ni 2.45
Pt: 0.6363 0.3863 0.2500  2 Ge 2.45
Pt: 0.6358 0.8786 0.2617  1 Ge 2.42, 1 Ni 2.45
Pt: 0.8728 0.1228 0.7500  2 Ni 2.41
Pt: 0.8831 0.1214 0.2571  1 Ge 2.42, 1 Ni 2.45
Pt: 0.8831 0.6259 0.7617  1 Ge 2.42, 1 Ni 2.45


Record 5
Below is a geometry-optimized LiIn3Cu8 structure, with properties calculated at the PBE-GGA level.

Values from the calculation:
- V (A^3/atom) = 14.783
- formation energy from the elements (kcal/mol of atoms) = -1.16
- space-group type = P3m1, No. 156
- density of states at the Fermi level (states/eV/f.u.) = 3.095
- relative energy among the computed polymorphs (meV per atom) = 4

Cell lengths 5.0662, 5.0662, 7.9812 Å; angles 90.00, 90.00, 120.00 degrees
With the nearest neighbours (Å) after each atom.
Sites, in units of the cell vectors:
Li: 0.0000 0.0000 0.0000  12 Cu 2.81-2.97, 4 In 2.90-3.04
In: 0.0000 0.0000 0.3636  12 Cu 2.87-3.02, 1 Li 2.90, 3 In 3.16
In: 0.6667 0.3333 0.5122  12 Cu 2.92-2.97, 4 In 3.06-3.16
In: 0.6667 0.3333 0.8956  12 Cu 2.79-2.99, 3 Li 3.04, 1 In 3.06
Cu: 0.1631 0.3262 0.6968  6 Cu 2.48-2.59
Cu: 0.1631 0.8369 0.6968  6 Cu 2.48-2.59
Cu: 0.3333 0.6667 0.4457  6 Cu 2.49-2.50
Cu: 0.3333 0.6667 0.9451  6 Cu 2.48
Cu: 0.5016 0.0032 0.1944  6 Cu 2.48-2.56
Cu: 0.5016 0.4984 0.1944  6 Cu 2.48-2.56
Cu: 0.6738 0.8369 0.6968  6 Cu 2.48-2.59
Cu: 0.9968 0.4984 0.1944  6 Cu 2.48-2.56


Record 6
Below is a geometry-optimized Ce2Zn5Ag3 structure, with properties calculated at the PBE-GGA level.

Values from the calculation:
- V (A^3/atom) = 20.270
- formation energy from the elements (kcal/mol of atoms) = -3.93
- space-group type = Ibam, No. 72
- density of states at the Fermi level (states/eV/f.u.) = 16.586

Cell lengths 8.9519, 8.9519, 8.9519 Å; angles 107.54, 84.72, 142.25 degrees
With the nearest neighbours (Å) after each atom.
Sites, in units of the cell vectors:
Ce: 0.1347 0.2229 0.3576  10 Zn 3.15-3.51, 4 Ag 3.19-3.45
Ce: 0.3653 0.7229 0.0882  10 Zn 3.15-3.51, 4 Ag 3.19-3.45
Ce: 0.6347 0.2771 0.9118  10 Zn 3.15-3.51, 4 Ag 3.19-3.45
Ce: 0.8653 0.7771 0.6424  10 Zn 3.15-3.51, 4 Ag 3.19-3.45
Zn: 0.0465 0.7500 0.2965  4 Zn 2.63-2.90, 3 Ag 2.65-2.69
Zn: 0.1038 0.6654 0.7692  3 Ag 2.58-2.65, 2 Zn 2.63
Zn: 0.2500 0.2500 0.0000  4 Ag 2.64, 2 Zn 2.90
Zn: 0.3962 0.1654 0.5616  3 Ag 2.58-2.65, 2 Zn 2.63
Zn: 0.4535 0.7500 0.7035  4 Zn 2.63-2.90, 3 Ag 2.65-2.69
Zn: 0.5465 0.2500 0.2965  4 Zn 2.63-2.90, 3 Ag 2.65-2.69
Zn: 0.6038 0.8346 0.4384  3 Ag 2.58-2.65, 2 Zn 2.63
Zn: 0.7500 0.7500 0.0000  4 Ag 2.64, 2 Zn 2.90
Zn: 0.8962 0.3346 0.2308  3 Ag 2.58-2.65, 2 Zn 2.63
Zn: 0.9535 0.2500 0.7035  4 Zn 2.63-2.90, 3 Ag 2.65-2.69
Ag: 0.1480 0.9032 0.0512  5 Zn 2.58-2.65
Ag: 0.2500 0.7500 0.5000  6 Zn 2.65-2.69, 2 Ag 2.90
Ag: 0.3520 0.4032 0.7552  5 Zn 2.58-2.65
Ag: 0.6480 0.5968 0.2448  5 Zn 2.58-2.65
Ag: 0.7500 0.2500 0.5000  6 Zn 2.65-2.69, 2 Ag 2.90
Ag: 0.8520 0.0968 0.9488  5 Zn 2.58-2.65


Record 7
Below is a geometry-optimized ZrTiGa2Os structure, with properties calculated at the PBE-GGA level.

Values from the calculation:
- V (A^3/atom) = 20.215
- formation energy from the elements (kcal/mol of atoms) = 13.65
- space-group type = P4/mmm, No. 123
- density of states at the Fermi level (states/eV/f.u.) = 3.619

Cell lengths 4.7198, 4.7198, 4.5372 Å; angles 90.00, 90.00, 90.00 degrees
With the nearest neighbours (Å) after each atom.
Sites, in units of the cell vectors:
Zr: 0.0000 0.0000 0.0000  8 Ga 3.27, 4 Os 3.34
Ti: 0.5000 0.5000 0.5000  2 Os 2.27, 4 Ga 2.36
Ga: 0.0000 0.5000 0.5000  2 Ti 2.36
Ga: 0.5000 0.0000 0.5000  2 Ti 2.36
Os: 0.5000 0.5000 0.0000  2 Ti 2.27


Record 8
Below is a geometry-optimized Tl3SnAu structure, with properties calculated at the PBE-GGA level.

Values from the calculation:
- V (A^3/atom) = 29.274
- formation energy from the elements (kcal/mol of atoms) = 0.07
- space-group type = Pmmn, No. 59
- density of states at the Fermi level (states/eV/f.u.) = 2.489
- relative energy among the computed polymorphs (meV per atom) = 0

Cell lengths 4.1716, 9.3691, 7.4901 Å; angles 90.00, 90.00, 90.00 degrees
With the nearest neighbours (Å) after each atom.
Sites, in units of the cell vectors:
Tl: 0.2500 0.0355 0.2184  3 Au 3.11-3.43, 2 Sn 3.40
Tl: 0.2500 0.4645 0.2184  3 Au 3.11-3.43, 2 Sn 3.40
Tl: 0.2500 0.7500 0.5194  1 Au 3.09, 2 Sn 3.28
Tl: 0.7500 0.2500 0.4806  1 Au 3.09, 2 Sn 3.28
Tl: 0.7500 0.5355 0.7816  3 Au 3.11-3.43, 2 Sn 3.40
Tl: 0.7500 0.9645 0.7816  3 Au 3.11-3.43, 2 Sn 3.40
Sn: 0.2500 0.2500 0.8179  2 Au 2.80
Sn: 0.7500 0.7500 0.1821  2 Au 2.80
Au: 0.2500 0.7500 0.9326  2 Sn 2.80, 5 Tl 3.09-3.11
Au: 0.7500 0.2500 0.0674  2 Sn 2.80, 5 Tl 3.09-3.11